Th4H2Se3: optimized geometry, GGA-PBE.

Calculated values
symmetry	C2/c
total energy	-0.4627	Ry per atom
total magnetic moment	0.00	μB/f.u.

a b c (Å): 8.2306 8.2306 6.1184
angles (deg): 96.92 96.92 76.83
Fractional coordinates of all 18 atoms:
Th (0.0437, 0.7120, 0.5195)
Th (0.2492, 0.4353, 0.0417)
Th (0.2880, 0.9563, 0.9805)
Th (0.4353, 0.2492, 0.5417)
Th (0.5647, 0.7508, 0.4583)
Th (0.7120, 0.0437, 0.0195)
Th (0.7508, 0.5647, 0.9583)
Th (0.9563, 0.2880, 0.4805)
H (0.1688, 0.4203, 0.4063)
H (0.4203, 0.1688, 0.9063)
H (0.5797, 0.8312, 0.0937)
H (0.8312, 0.5797, 0.5937)
Se (0.0143, 0.7657, 0.0223)
Se (0.2343, 0.9857, 0.4777)
Se (0.3953, 0.6047, 0.7500)
Se (0.6047, 0.3953, 0.2500)
Se (0.7657, 0.0143, 0.5223)
Se (0.9857, 0.2343, 0.9777)


ThHSe: optimized geometry, GGA-PBE.

Calculated values
symmetry	F-43m
total energy	-0.4031	Ry per atom
total magnetic moment	0.69	μB/f.u.

a b c (Å): 6.5613 6.5613 6.5613
angles (deg): 90.00 90.00 90.00
Fractional coordinates of all 12 atoms:
Th (0.0000, 0.0000, 0.0000)
Th (0.0000, 0.5000, 0.5000)
Th (0.5000, 0.0000, 0.5000)
Th (0.5000, 0.5000, 0.0000)
H (0.2500, 0.2500, 0.7500)
H (0.2500, 0.7500, 0.2500)
H (0.7500, 0.2500, 0.2500)
H (0.7500, 0.7500, 0.7500)
Se (0.2500, 0.2500, 0.2500)
Se (0.2500, 0.7500, 0.7500)
Se (0.7500, 0.2500, 0.7500)
Se (0.7500, 0.7500, 0.2500)